Compound: CoB2S
Source: Alexandria
Functional: meta-GGA SCAN
Structure: PBEsol geometry

Computed properties:
The density of states at the Fermi level is 9.4 states/eV per cell. As for the total DFT energy (no corrections): -10.020 eV/atom. For the formation energy (no corrections), the calculation gives 0.428 eV/atom. Its volume is 172.5 Å³/cell. The calculation puts the magnetic moment at 0.000 μB/atom.

abc: 4.625 4.625 8.067
angles: 90.00 90.00 90.00
Space group I-42d (No. 122)
Symmetry-distinct sites (fractional):
Co 0.000 0.000 0.000 (multiplicity 4)
B 0.245 0.750 0.625 (multiplicity 8)
S 0.000 0.000 0.500 (multiplicity 4)